The following is a DFT calculation (PBE) of a relaxed Li2CF crystal.

Structure (CIF):
```
data_Li2CF
_cell_length_a 5.555
_cell_length_b 5.555
_cell_length_c 5.555
_cell_angle_alpha 90.00
_cell_angle_beta 90.00
_cell_angle_gamma 90.00
_symmetry_space_group_name_H-M 'F m -3 m'
_symmetry_Int_Tables_number 225
_symmetry_space_group_name_Hall '-F 4 2 3'
loop_
_atom_site_label
_atom_site_type_symbol
_atom_site_fract_x
_atom_site_fract_y
_atom_site_fract_z
Li1 Li 0.250 0.250 0.250
C1 C 0.000 0.000 0.000
F1 F 0.000 0.000 0.500
```

Properties
E_form (uncorrected) ... -0.025 eV/atom
ΔE to the lowest computed polymorph ... 280 meV/atom

The following is a DFT calculation (PBE) of a relaxed NdBPPt6 crystal.

Structure (CIF):
```
data_NdBPPt6
_cell_length_a 7.465
_cell_length_b 7.975
_cell_length_c 11.077
_cell_angle_alpha 90.00
_cell_angle_beta 90.00
_cell_angle_gamma 90.00
_symmetry_space_group_name_H-M 'I m m a'
_symmetry_Int_Tables_number 74
_symmetry_space_group_name_Hall '-I 2b 2'
loop_
_atom_site_label
_atom_site_type_symbol
_atom_site_fract_x
_atom_site_fract_y
_atom_site_fract_z
Nd1 Nd 0.000 0.250 0.162
B1 B 0.000 0.000 0.500
P1 P 0.250 0.250 0.750
Pt1 Pt 0.000 0.250 0.431
Pt2 Pt 0.000 0.250 0.871
Pt3 Pt 0.215 0.025 0.624
```

Properties
VASP energy ... -231.788 eV for the cell shown

Mass density readings, ordered: 1.7 13.7 g/cm³